# 1
# ZrBe2Al, relaxed, DFT PBE
data_ZrBe2Al
_symmetry_space_group_name_H-M 'P 4 m m'
_symmetry_Int_Tables_number 99
_cell_length_a 2.9030
_cell_length_b 2.9030
_cell_length_c 6.6342
_cell_angle_alpha 90.00
_cell_angle_beta 90.00
_cell_angle_gamma 90.00
loop_
_symmetry_equiv_pos_as_xyz
'x,y,z'
'-y,x,z'
'-x,-y,z'
'y,-x,z'
'-x,y,z'
'y,x,z'
'x,-y,z'
'-y,-x,z'
loop_
_atom_site_label
_atom_site_type_symbol
_atom_site_fract_x
_atom_site_fract_y
_atom_site_fract_z
Zr1 Zr 0.0000 0.0000 0.0000
Be1 Be 0.0000 0.0000 0.5639
Be2 Be 0.5000 0.5000 0.7129
Al1 Al 0.5000 0.5000 0.3252
# Formation energy from the elements = -0.04 eV/atom
# Magnetic moment = 0.0 μB per cell
# Crystal system = tetragonal

---

# 2
# ZrBe2Al, relaxed, DFT PBE
data_ZrBe2Al
_symmetry_space_group_name_H-M 'I m m 2'
_symmetry_Int_Tables_number 44
_cell_length_a 3.1893
_cell_length_b 3.8431
_cell_length_c 9.5374
_cell_angle_alpha 90.00
_cell_angle_beta 90.00
_cell_angle_gamma 90.00
loop_
_symmetry_equiv_pos_as_xyz
'x,y,z'
'-x,-y,z'
'-x,y,z'
'x,-y,z'
'x+1/2,y+1/2,z+1/2'
'-x+1/2,-y+1/2,z+1/2'
'-x+1/2,y+1/2,z+1/2'
'x+1/2,-y+1/2,z+1/2'
loop_
_atom_site_label
_atom_site_type_symbol
_atom_site_fract_x
_atom_site_fract_y
_atom_site_fract_z
Zr1 Zr 0.0000 0.0000 0.0000
Be1 Be 0.0000 0.0000 0.5961
Be2 Be 0.0000 0.5000 0.2438
Al1 Al 0.0000 0.5000 0.7645
# Formation energy from the elements = 0.03 eV/atom
# Magnetic moment = 0.0 μB per cell
# Crystal system = orthorhombic

---

# 3
# ZrBe2Al, relaxed, DFT PBE
data_ZrBe2Al
_symmetry_space_group_name_H-M 'P 4/m m m'
_symmetry_Int_Tables_number 123
_symmetry_space_group_name_Hall '-P 4 2'
_cell_length_a 2.9693
_cell_length_b 2.9693
_cell_length_c 6.3109
_cell_angle_alpha 90.00
_cell_angle_beta 90.00
_cell_angle_gamma 90.00
loop_
_atom_site_label
_atom_site_type_symbol
_atom_site_fract_x
_atom_site_fract_y
_atom_site_fract_z
Zr1 Zr 0.0000 0.0000 0.0000
Be1 Be 0.5000 0.5000 0.2929
Al1 Al 0.0000 0.0000 0.5000
# Formation energy from the elements = 0.00 eV/atom
# Magnetic moment = 0.1 μB per cell
# Crystal system = tetragonal

---

# 4
# Zr2Be15Al2, relaxed, DFT PBE
data_Zr2Be15Al2
_symmetry_space_group_name_H-M 'R -3 m'
_symmetry_Int_Tables_number 166
_symmetry_space_group_name_Hall '-R 3 2"'
_cell_length_a 7.7221
_cell_length_b 7.7221
_cell_length_c 11.3342
_cell_angle_alpha 90.00
_cell_angle_beta 90.00
_cell_angle_gamma 120.00
loop_
_atom_site_label
_atom_site_type_symbol
_atom_site_fract_x
_atom_site_fract_y
_atom_site_fract_z
Zr1 Zr 0.0000 0.0000 0.1541
Be1 Be 0.0000 0.2966 0.5000
Be2 Be 0.0000 0.5000 0.0000
Be3 Be 0.0094 0.5047 0.6575
Al1 Al 0.0000 0.0000 0.3938
# Formation energy from the elements = -0.19 eV/atom
# Magnetic moment = 0.0 μB per cell
# Crystal system = trigonal

---

| no. | DOS(E_F) (states/eV per cell) | final energy (eV per atom) |
| --- | --- | --- |
| 1 | 2.1 | -4.98 |
| 2 | 6.5 | -4.91 |
| 3 | 2.4 | -4.94 |
| 4 | 9.3 | -4.42 |